Record 1
Computed, not measured: CuBRh3 after structural relaxation at the GGA-PBE level of DFT.

```
CuBRh3
1.0
5.666 0.000 0.000
0.000 4.095 0.000
-2.833 0.000 5.655
Cu B Rh
2 2 6
direct
0.124 0.000 0.249
0.876 0.000 0.751
0.384 0.500 0.769
0.616 0.500 0.231
0.000 0.500 0.500
0.227 0.500 0.000
0.371 0.000 0.742
0.500 0.500 0.500
0.629 0.000 0.258
0.773 0.500 0.000
```

Properties
As for the formation enthalpy at 0 K: 0.0 eV per formula unit. The energy above the most stable polymorph in this dataset comes out at 66 meV per atom.



Record 2
Computed, not measured: TaTi2Al after structural relaxation at the GGA-PBE level of DFT.

```
TaTi2Al
1.0
2.174 -1.803 0.000
2.174 1.803 0.000
-0.556 0.000 8.768
Ta Ti Al
1 2 1
direct
0.000 0.000 0.000
0.468 0.468 0.252
0.532 0.532 0.748
0.000 0.000 0.500
```

Properties
As for the formation enthalpy at 0 K: -0.6 eV per formula unit.



Record 3
Computed, not measured: ScFeP3 after structural relaxation at the GGA-PBE level of DFT.

```
ScFeP3
1.0
4.856 0.000 0.000
0.000 4.856 0.000
0.000 0.000 4.856
Sc Fe P
1 1 3
direct
0.000 0.000 0.000
0.500 0.500 0.500
0.000 0.000 0.500
0.000 0.500 0.000
0.500 0.000 0.000
```

Properties
As for the formation enthalpy at 0 K: 4.5 eV per formula unit. The energy above the most stable polymorph in this dataset comes out at 825 meV per atom.



Record 4
Computed, not measured: ZrFeOs after structural relaxation at the GGA-PBE level of DFT.

```
ZrFeOs
1.0
-1.605 1.605 4.702
1.605 -1.605 4.702
1.605 1.605 -4.702
Zr Fe Os
1 1 1
direct
0.000 0.000 0.000
0.321 0.321 0.000
0.674 0.674 0.000
```

Properties
As for the formation enthalpy at 0 K: -0.1 eV per formula unit. The energy above the most stable polymorph in this dataset comes out at 307 meV per atom.



Record 5
Computed, not measured: PmDy3Y2Er6 after structural relaxation at the GGA-PBE level of DFT.

```
PmDy3Y2Er6
1.0
3.065 -5.303 0.000
3.065 5.303 0.000
-2.033 0.000 11.545
Pm Dy Y Er
1 3 2 6
direct
0.000 0.000 0.000
0.167 0.833 0.500
0.500 0.500 0.500
0.833 0.167 0.500
0.333 0.667 0.000
0.667 0.333 0.000
0.084 0.417 0.252
0.249 0.249 0.748
0.417 0.084 0.252
0.583 0.916 0.748
0.751 0.751 0.252
0.916 0.583 0.748
```

Properties
As for the formation enthalpy at 0 K: 0.3 eV per formula unit.



Record 6
Computed, not measured: MnFeSb after structural relaxation at the GGA-PBE level of DFT.

```
MnFeSb
1.0
4.187 0.000 0.000
-2.094 3.626 0.000
0.000 0.000 3.064
Mn Fe Sb
1 1 1
direct
0.000 0.000 0.000
0.667 0.333 0.718
0.333 0.667 0.409
```

Properties
Its uncorrected formation energy is 0.291 eV per atom.



Per-record calculated total energy, eV/atom: -6.575; -7.984; -5.312; -9.452; -4.884; -6.961